VASP calculation (PBE) on an optimized crystal structure of YHo5ErSc2.

Values from the calculation:
N(E_F) ... 56.5 states/eV per cell
Size of the total moment ... 0.00 Bohr magnetons per cell
DFT formation energy ... 170 meV per atom

a = 5.563 Å, b = 21.248 Å, c = 9.300 Å
α = 90.00°, β = 90.00°, γ = 90.00°
Space group Cmc2_1 (No. 36)
Unique sites:
Y  0.000  0.186  0.000
Ho  0.000  0.012  0.004
Ho  0.000  0.266  0.684
Ho  0.000  0.306  0.297
Ho  0.000  0.392  0.970
Ho  0.000  0.468  0.269
Er  0.000  0.402  0.597
Sc  0.000  0.114  0.692
Sc  0.000  0.135  0.317